No. 1
First-principles (PBE) data for Sr3Ti2InO9 after structural relaxation, as listed in Alexandria via LeMat-Bulk.

Computed properties:
E_form (uncorrected): -2669 meV per atom

a = 5.705 Å, b = 5.705 Å, c = 7.041 Å
α = 90.00°, β = 90.00°, γ = 120.00°
Atoms (fractional coordinates):
Sr  0.000  0.000  0.000
Sr  0.333  0.667  0.679
Sr  0.667  0.333  0.321
Ti  0.333  0.667  0.167
Ti  0.667  0.333  0.833
In  0.000  0.000  0.500
O  0.000  0.500  0.000
O  0.173  0.346  0.319
O  0.173  0.827  0.319
O  0.346  0.173  0.681
O  0.500  0.000  0.000
O  0.500  0.500  0.000
O  0.654  0.827  0.319
O  0.827  0.173  0.681
O  0.827  0.654  0.681

No. 2
First-principles (PBE) data for Th2Mg3Tl after structural relaxation, as listed in Alexandria via LeMat-Bulk.

Computed properties:
Total energy: -44.491 eV for the cell shown

a = 10.385 Å, b = 9.624 Å, c = 6.230 Å
α = 78.65°, β = 65.32°, γ = 36.03°
Atoms (fractional coordinates):
Th  0.250  0.250  0.250
Th  0.250  0.750  0.750
Th  0.750  0.250  0.250
Th  0.750  0.750  0.750
Mg  0.166  0.166  0.834
Mg  0.167  0.667  0.333
Mg  0.333  0.833  0.167
Mg  0.667  0.167  0.833
Mg  0.833  0.333  0.667
Mg  0.834  0.834  0.166
Tl  0.334  0.334  0.666
Tl  0.666  0.666  0.334

No. 3
First-principles (PBE) data for PrSmPu2 after structural relaxation, as listed in Alexandria via LeMat-Bulk.

Computed properties:
Total energy: -37.251 eV for the cell shown

a = 4.916 Å, b = 4.916 Å, c = 5.085 Å
α = 90.00°, β = 90.00°, γ = 90.00°
Atoms (fractional coordinates):
Pr  0.000  0.000  0.000
Sm  0.500  0.500  0.000
Pu  0.000  0.500  0.500
Pu  0.500  0.000  0.500

No. 4
First-principles (PBE) data for CrIr2Ru6 after structural relaxation, as listed in Alexandria via LeMat-Bulk.

Computed properties:
Total energy: -83.206 eV for the cell shown

a = 7.173 Å, b = 7.173 Å, c = 6.696 Å
α = 103.42°, β = 103.42°, γ = 21.82°
Atoms (fractional coordinates):
Cr  0.000  0.000  0.000
Ir  0.409  0.409  0.671
Ir  0.591  0.591  0.329
Ru  0.074  0.074  0.667
Ru  0.260  0.260  0.335
Ru  0.336  0.336  0.000
Ru  0.664  0.664  0.000
Ru  0.740  0.740  0.665
Ru  0.926  0.926  0.333

No. 5
First-principles (PBE) data for Cs2KCdF after structural relaxation, as listed in Alexandria via LeMat-Bulk.

Computed properties:
Energy above the lowest structure with this stoichiometry: 0.45 eV/f.u.
E_form (uncorrected): -927 meV per atom

a = 5.801 Å, b = 5.801 Å, c = 7.604 Å
α = 90.00°, β = 90.00°, γ = 90.00°
Atoms (fractional coordinates):
Cs  0.000  0.500  0.000
Cs  0.500  0.000  0.000
K  0.000  0.000  0.500
Cd  0.500  0.500  0.500
F  0.500  0.500  0.000

No. 6
First-principles (PBE) data for Co2PdRuN after structural relaxation, as listed in Alexandria via LeMat-Bulk.

Computed properties:
Energy above the lowest structure with this stoichiometry: 0.00 eV/f.u.
E_form (uncorrected): 134 meV per atom

a = 3.866 Å, b = 3.866 Å, c = 3.947 Å
α = 90.00°, β = 90.00°, γ = 90.00°
Atoms (fractional coordinates):
Co  0.000  0.500  0.000
Co  0.500  0.000  0.000
Pd  0.000  0.000  0.500
Ru  0.500  0.500  0.500
N  0.500  0.500  0.000

No. 7
First-principles (PBE) data for BaLiNi2Ge after structural relaxation, as listed in Alexandria via LeMat-Bulk.

Computed properties:
Total energy: -12.981 eV for the cell shown

a = 4.943 Å, b = 4.943 Å, c = 5.081 Å
α = 90.00°, β = 90.00°, γ = 90.00°
Atoms (fractional coordinates):
Ba  0.000  0.000  0.000
Li  0.000  0.000  0.500
Ni  0.000  0.500  0.000
Ni  0.500  0.000  0.000
Ge  0.500  0.500  0.500

No. 8
First-principles (PBE) data for AcAl4Pd2 after structural relaxation, as listed in Alexandria via LeMat-Bulk.

Computed properties:
Energy above the lowest structure with this stoichiometry: 1.38 eV/f.u.

a = 5.679 Å, b = 5.679 Å, c = 5.302 Å
α = 115.98°, β = 115.98°, γ = 72.94°
Atoms (fractional coordinates):
Ac  0.000  0.000  0.000
Al  0.024  0.612  0.309
Al  0.388  0.976  0.691
Al  0.612  0.024  0.309
Al  0.976  0.388  0.691
Pd  0.426  0.426  0.679
Pd  0.574  0.574  0.321

No. 9
First-principles (PBE) data for PtRhS after structural relaxation, as listed in Alexandria via LeMat-Bulk.

Computed properties:
Energy above the lowest structure with this stoichiometry: 0.02 eV/f.u.
E_form (uncorrected): -128 meV per atom

a = 7.445 Å, b = 7.445 Å, c = 3.830 Å
α = 101.69°, β = 101.69°, γ = 27.32°
Atoms (fractional coordinates):
Pt  0.000  0.000  0.000
Pt  0.192  0.192  0.071
Rh  0.603  0.603  0.473
Rh  0.853  0.853  0.384
S  0.457  0.457  0.584
S  0.754  0.754  0.792

No. 10
First-principles (PBE) data for Sr4AsSe2Cl after structural relaxation, as listed in Alexandria via LeMat-Bulk.

Computed properties:
E_form (uncorrected): -1884 meV per atom

a = 7.768 Å, b = 7.768 Å, c = 7.768 Å
α = 132.41°, β = 132.41°, γ = 69.59°
Atoms (fractional coordinates):
Sr  0.000  0.500  0.500
Sr  0.237  0.237  0.000
Sr  0.500  0.000  0.500
Sr  0.763  0.763  0.000
As  0.000  0.000  0.000
Se  0.250  0.750  0.500
Se  0.750  0.250  0.500
Cl  0.500  0.500  0.000

No. 11
First-principles (PBE) data for Ti2GaAgB after structural relaxation, as listed in Alexandria via LeMat-Bulk.

Computed properties:
Total energy: -28.690 eV for the cell shown

a = 4.271 Å, b = 4.271 Å, c = 4.288 Å
α = 90.00°, β = 90.00°, γ = 90.00°
Atoms (fractional coordinates):
Ti  0.000  0.500  0.000
Ti  0.500  0.000  0.000
Ga  0.000  0.000  0.500
Ag  0.500  0.500  0.500
B  0.500  0.500  0.000

No. 12
First-principles (PBE) data for PuCu2Ir after structural relaxation, as listed in Alexandria via LeMat-Bulk.

Computed properties:
Total energy: -31.117 eV for the cell shown

a = 4.526 Å, b = 4.526 Å, c = 4.526 Å
α = 60.00°, β = 60.00°, γ = 60.00°
Atoms (fractional coordinates):
Pu  0.000  0.000  0.000
Cu  0.250  0.250  0.250
Cu  0.750  0.750  0.750
Ir  0.500  0.500  0.500

| no. | calculated density (g/cm3) |
| --- | --- |
| 1 | 5.2 |
| 2 | 7.7 |
| 3 | 10.5 |
| 4 | 13.9 |
| 5 | 2.8 |
| 6 | 9.6 |
| 7 | 4.5 |
| 8 | 6.6 |
| 9 | 11.5 |
| 10 | 4.1 |
| 11 | 6.0 |
| 12 | 14.3 |